P:
Below is an optimized crystal structure of RbTaBr2, with properties calculated at the PBE level.

Unit cell a=5.4922 b=5.4922 c=5.4922 alpha=60.00 beta=60.00 gamma=60.00
Last column: magnetic moment on the atom in μB.
Fractional positions:
Br 0.7500 0.7500 0.7500  0.03
Br 0.2500 0.2500 0.2500  0.03
Ta 0.5000 0.5000 0.5000  2.38
Rb 0.0000 0.0000 0.0000  0.03

Its density of states at the Fermi level is 3.14 states/eV/f.u. For the theoretical density, the calculation gives 6.042 g/cm³.

***

Q:
Below is an optimized crystal structure of RbTaBr2, with properties calculated at the PBE level.

Unit cell a=10.3585 b=10.3585 c=10.3585 alpha=19.72 beta=19.72 gamma=19.72
Last column: magnetic moment on the atom in μB.
Fractional positions:
Ta 0.0000 0.0000 0.0000  0.50
Br 0.9166 0.9166 0.9166  0.00
Rb 0.5000 0.5000 0.5000  0.00
Br 0.0834 0.0834 0.0834  0.00

Its density of states at the Fermi level is 3.95 states/eV/f.u. For the theoretical density, the calculation gives 6.395 g/cm³.

***

R:
Below is an optimized crystal structure of RbTaBr2, with properties calculated at the PBE level.

Unit cell a=6.3035 b=6.3035 c=9.1559 alpha=69.87 beta=69.87 gamma=90.00
Last column: magnetic moment on the atom in μB.
Fractional positions:
Rb 0.2500 0.7500 0.5000  0.01
Br 0.7318 0.1250 0.2500  0.03
Br 0.0182 0.6250 0.2500  0.03
Ta 0.7500 0.2500 0.5000  2.17
Br 0.3750 0.2682 0.7500  0.03
Ta 0.0000 0.0000 0.0000  2.17
Br 0.8750 0.9818 0.7500  0.03
Rb 0.5000 0.5000 0.0000  0.01

Its density of states at the Fermi level is 2.43 states/eV/f.u. For the theoretical density, the calculation gives 4.454 g/cm³.

***

Most stable = Q

***

P:
Below is an optimized crystal structure of Rb2TaBr, with properties calculated at the PBE level.

Unit cell a=6.2456 b=6.2456 c=6.2456 alpha=60.00 beta=60.00 gamma=60.00
Last column: magnetic moment on the atom in μB.
Fractional positions:
Ta 0.5000 0.5000 0.5000  2.39
Br 0.0000 0.0000 0.0000  0.00
Rb 0.7500 0.7500 0.7500  0.03
Rb 0.2500 0.2500 0.2500  0.03

Its density of states at the Fermi level is 5.48 states/eV/f.u. For the theoretical density, the calculation gives 4.162 g/cm³.

***

Q:
Below is an optimized crystal structure of Rb2TaBr, with properties calculated at the PBE level.

Unit cell a=13.1798 b=13.1798 c=9.6601 alpha=46.99 beta=46.99 gamma=90.00
Last column: magnetic moment on the atom in μB.
Fractional positions:
Rb 0.4609 0.1250 0.2500  0.03
Br 0.2500 0.7500 0.5000  0.01
Rb 0.3750 0.5391 0.7500  0.03
Br 0.5000 0.5000 0.0000  0.01
Rb 0.2891 0.6250 0.2500  0.03
Rb 0.8750 0.7109 0.7500  0.02
Ta 0.0000 0.0000 0.0000  2.01
Ta 0.7500 0.2500 0.5000  2.01

Its density of states at the Fermi level is 2.74 states/eV/f.u. For the theoretical density, the calculation gives 3.247 g/cm³.

***

Most stable = Q

***

P:
Below is an optimized crystal structure of RbTa2Br, with properties calculated at the PBE level.

Unit cell a=5.0022 b=5.0022 c=5.0022 alpha=60.00 beta=60.00 gamma=60.00
Last column: magnetic moment on the atom in μB.
Fractional positions:
Rb 0.5000 0.5000 0.5000  0.05
Br 0.0000 0.0000 0.0000  -0.01
Ta 0.7500 0.7500 0.7500  0.48
Ta 0.2500 0.2500 0.2500  0.48

Its density of states at the Fermi level is 5.67 states/eV/f.u. For the theoretical density, the calculation gives 9.893 g/cm³.

***

Q:
Below is an optimized crystal structure of RbTa2Br, with properties calculated at the PBE level.

Unit cell a=4.4594 b=4.4594 c=12.3603 alpha=79.61 beta=79.61 gamma=90.00
Fractional positions:
Rb 0.0000 0.0000 0.0000
Ta 0.3750 0.7451 0.7500
Br 0.5000 0.5000 0.0000
Ta 0.8750 0.5049 0.7500
Ta 0.2549 0.1250 0.2500
Rb 0.7500 0.2500 0.5000
Ta 0.4951 0.6250 0.2500
Br 0.2500 0.7500 0.5000

Its density of states at the Fermi level is 4.06 states/eV/f.u. For the theoretical density, the calculation gives 7.368 g/cm³.

***

Most stable = Q